Record 1
Density functional theory data (PBE) for a relaxed structure of ZnTeI2O.

## Properties
**E_form (uncorrected)**: 0.357 eV/atom
**DOS(E_F)**: 0.355 states/eV/atom
**Magnetic moment**: 0.0 μB/cell
**Total energy**: -10.7 eV per cell
**Energy relative to the lowest polymorph listed for this composition**: 392.3 meV/atom

abc: 5.292 5.292 4.565
angles: 90.00 90.00 90.00
Fractional coordinates of all 5 atoms:
I: 0.000 0.500 0.000
Zn: 0.500 0.500 0.500
I: 0.500 0.000 0.000
Te: 0.000 0.000 0.500
O: 0.000 0.000 0.000

---

Record 2
Density functional theory data (PBE) for a relaxed structure of ZnTeIO2.

## Properties
**E_form (uncorrected)**: -0.272 eV/atom
**DOS(E_F)**: 0.408 states/eV/atom
**Magnetic moment**: 0.0 μB/cell
**Total energy**: -17.2 eV per cell
**Energy relative to the lowest polymorph listed for this composition**: 0.0 meV/atom

abc: 4.093 4.093 7.361
angles: 90.00 90.00 90.00
Fractional coordinates of all 5 atoms:
I: 0.000 0.000 0.500
O: 0.000 0.500 0.000
O: 0.500 0.000 0.000
Te: 0.000 0.000 0.000
Zn: 0.500 0.500 0.500

---

Record 3
Density functional theory data (PBE) for a relaxed structure of ZrTeIO2.

## Properties
**E_form (uncorrected)**: -1.210 eV/atom
**DOS(E_F)**: 0.740 states/eV/atom
**Magnetic moment**: 0.0 μB/cell
**Total energy**: -29.2 eV per cell
**Energy relative to the lowest polymorph listed for this composition**: 0.0 meV/atom

abc: 4.191 4.191 6.637
angles: 90.00 90.00 90.00
Fractional coordinates of all 5 atoms:
O: 0.000 0.500 0.000
Zr: 0.000 0.000 0.000
Te: 0.500 0.500 0.500
O: 0.500 0.000 0.000
I: 0.000 0.000 0.500

---

Record 4
Density functional theory data (PBE) for a relaxed structure of ZrTeIO2.

## Properties
**E_form (uncorrected)**: -0.008 eV/atom
**DOS(E_F)**: 0.700 states/eV/atom
**Magnetic moment**: 2.0 μB/cell
**Total energy**: -23.2 eV per cell
**Energy relative to the lowest polymorph listed for this composition**: 1201.1 meV/atom

abc: 4.175 4.175 6.426
angles: 90.00 90.00 90.00
Fractional coordinates of all 5 atoms:
I: 0.000 0.000 0.500
Zr: 0.500 0.500 0.500
O: 0.500 0.000 0.000
Te: 0.000 0.000 0.000
O: 0.000 0.500 0.000

---

Record 5
Density functional theory data (PBE) for a relaxed structure of ThIO.

## Properties
**E_form (uncorrected)**: -1.895 eV/atom
**DOS(E_F)**: 0.295 states/eV/atom
**Magnetic moment**: 0.0 μB/cell
**Total energy**: -39.2 eV per cell

abc: 3.684 3.684 13.956
angles: 90.00 90.00 120.00
Fractional coordinates of all 6 atoms:
Th: 0.333 0.667 0.500
O: 0.333 0.667 0.914
I: 0.000 0.000 0.329
Th: 0.000 0.000 0.000
O: 0.333 0.667 0.086
I: 0.000 0.000 0.671

---

Record 6
Density functional theory data (PBE) for a relaxed structure of ThTl2IO6.

## Properties
**E_form (uncorrected)**: -1.400 eV/atom
**DOS(E_F)**: 0.315 states/eV/atom
**Magnetic moment**: 0.0 μB/cell
**Total energy**: -57.5 eV per cell

abc: 6.147 6.147 6.149
angles: 120.02 120.02 90.00
Fractional coordinates of all 10 atoms:
Th: 0.500 0.500 0.000
O: 0.234 0.766 0.000
O: 0.765 0.766 0.531
O: 0.765 0.766 0.999
O: 0.234 0.235 0.000
I: 0.000 0.000 0.000
Tl: 0.750 0.251 0.500
Tl: 0.250 0.750 0.500
O: 0.234 0.235 0.468
O: 0.766 0.235 0.000

---

Record 7
Density functional theory data (PBE) for a relaxed structure of TiIO2.

## Properties
**E_form (uncorrected)**: -0.290 eV/atom
**DOS(E_F)**: 1.541 states/eV/atom
**Magnetic moment**: 0.0 μB/cell
**Total energy**: -20.5 eV per cell

abc: 7.788 7.788 7.788
angles: 23.49 23.49 23.49
Fractional coordinates of all 4 atoms:
O: 0.921 0.921 0.921
Ti: 0.000 0.000 0.000
I: 0.500 0.500 0.500
O: 0.079 0.079 0.079

---

Record 8
Density functional theory data (PBE) for a relaxed structure of Ti3I7O.

## Properties
**E_form (uncorrected)**: -1.001 eV/atom
**DOS(E_F)**: 0.332 states/eV/atom
**Magnetic moment**: 3.0 μB/cell
**Total energy**: -50.5 eV per cell

abc: 7.525 7.697 7.697
angles: 120.00 90.00 90.00
Fractional coordinates of all 11 atoms:
I: 0.009 0.167 0.833
Ti: 0.762 0.057 0.529
O: 0.664 0.333 0.667
I: 0.009 0.167 0.334
Ti: 0.762 0.471 0.529
I: 0.967 0.667 0.333
Ti: 0.762 0.471 0.943
I: 0.009 0.666 0.833
I: 0.557 0.834 0.166
I: 0.557 0.332 0.166
I: 0.557 0.834 0.668

---

Record 9
Density functional theory data (PBE) for a relaxed structure of TiIO2.

## Properties
**E_form (uncorrected)**: -0.287 eV/atom
**DOS(E_F)**: 1.023 states/eV/atom
**Magnetic moment**: 0.0 μB/cell
**Total energy**: -20.5 eV per cell

abc: 4.187 4.187 4.187
angles: 60.00 60.00 60.00
Fractional coordinates of all 4 atoms:
Ti: 0.000 0.000 0.000
O: 0.750 0.750 0.750
O: 0.250 0.250 0.250
I: 0.500 0.500 0.500

---

Record 10
Density functional theory data (PBE) for a relaxed structure of Ti5I3O12.

## Properties
**E_form (uncorrected)**: -1.828 eV/atom
**DOS(E_F)**: 0.573 states/eV/atom
**Magnetic moment**: 0.4 μB/cell
**Total energy**: -560.7 eV per cell

abc: 11.550 11.550 11.550
angles: 109.47 109.47 109.47
Fractional coordinates of all 80 atoms:
O: 0.388 0.019 0.839
Ti: 0.750 0.125 0.875
Ti: 0.875 0.250 0.625
I: 0.875 0.125 0.250
O: 0.049 0.869 0.388
O: 0.839 0.320 0.951
I: 0.375 0.750 0.625
O: 0.631 0.019 0.680
O: 0.049 0.180 0.161
O: 0.019 0.388 0.339
O: 0.519 0.680 0.131
O: 0.451 0.112 0.631
O: 0.612 0.631 0.951
I: 0.625 0.250 0.375
O: 0.112 0.451 0.131
O: 0.612 0.981 0.161
O: 0.869 0.820 0.481
O: 0.661 0.112 0.981
O: 0.820 0.951 0.339
Ti: 0.000 0.500 0.500
I: 0.625 0.375 0.750
O: 0.839 0.519 0.388
Ti: 0.625 0.750 0.875
I: 0.250 0.625 0.875
Ti: 0.125 0.750 0.375
O: 0.161 0.481 0.612
O: 0.631 0.612 0.451
O: 0.549 0.888 0.369
O: 0.019 0.631 0.180
Ti: 0.625 0.875 0.250
Ti: 0.000 0.000 0.500
Ti: 0.500 0.500 0.500
O: 0.320 0.839 0.451
O: 0.519 0.839 0.888
Ti: 0.500 0.000 0.000
I: 0.125 0.250 0.875
O: 0.661 0.549 0.180
I: 0.250 0.125 0.375
O: 0.680 0.161 0.549
O: 0.951 0.131 0.612
Ti: 0.250 0.375 0.625
O: 0.320 0.481 0.369
Ti: 0.500 0.000 0.500
O: 0.339 0.888 0.019
I: 0.875 0.750 0.125
O: 0.131 0.180 0.519
O: 0.451 0.339 0.320
O: 0.112 0.661 0.481
O: 0.981 0.369 0.820
O: 0.820 0.869 0.981
O: 0.369 0.981 0.320
Ti: 0.750 0.625 0.375
O: 0.888 0.549 0.869
Ti: 0.250 0.875 0.125
I: 0.750 0.875 0.625
Ti: 0.500 0.500 0.000
O: 0.339 0.451 0.820
Ti: 0.875 0.625 0.750
O: 0.180 0.131 0.019
O: 0.388 0.369 0.049
O: 0.869 0.049 0.888
Ti: 0.375 0.250 0.125
I: 0.375 0.625 0.250
O: 0.680 0.519 0.631
O: 0.549 0.661 0.680
Ti: 0.375 0.125 0.750
O: 0.981 0.612 0.661
I: 0.750 0.375 0.125
O: 0.951 0.820 0.839
Ti: 0.125 0.375 0.250
O: 0.180 0.049 0.661
O: 0.131 0.951 0.112
O: 0.481 0.161 0.112
O: 0.369 0.388 0.549
Ti: 0.000 0.000 0.000
O: 0.161 0.680 0.049
I: 0.125 0.875 0.750
O: 0.888 0.339 0.519
Ti: 0.000 0.500 0.000
O: 0.481 0.320 0.869

---

Record 11
Density functional theory data (PBE) for a relaxed structure of TiI2O2.

## Properties
**E_form (uncorrected)**: 0.213 eV/atom
**DOS(E_F)**: 0.830 states/eV/atom
**Magnetic moment**: 2.4 μB/cell
**Total energy**: -19.8 eV per cell
**Energy relative to the lowest polymorph listed for this composition**: 1101.9 meV/atom

abc: 4.115 4.115 7.346
angles: 90.00 90.00 90.00
Fractional coordinates of all 5 atoms:
I: 0.000 0.000 0.000
O: 0.500 0.000 0.000
I: 0.000 0.000 0.500
Ti: 0.500 0.500 0.500
O: 0.000 0.500 0.000

---

Record 12
Density functional theory data (PBE) for a relaxed structure of TiIO2.

## Properties
**E_form (uncorrected)**: -2.007 eV/atom
**DOS(E_F)**: 0.178 states/eV/atom
**Magnetic moment**: 0.0 μB/cell
**Total energy**: -27.4 eV per cell

abc: 10.282 10.282 10.282
angles: 17.33 17.33 17.33
Fractional coordinates of all 4 atoms:
O: 0.136 0.136 0.136
Ti: 0.500 0.500 0.500
O: 0.864 0.864 0.864
I: 0.000 0.000 0.000

---

What did the eleventh record say?
Density functional theory data (PBE) for a relaxed structure of TiI2O2.

## Properties
**E_form (uncorrected)**: 0.213 eV/atom
**DOS(E_F)**: 0.830 states/eV/atom
**Magnetic moment**: 2.4 μB/cell
**Total energy**: -19.8 eV per cell
**Energy relative to the lowest polymorph listed for this composition**: 1101.9 meV/atom

abc: 4.115 4.115 7.346
angles: 90.00 90.00 90.00
Fractional coordinates of all 5 atoms:
I: 0.000 0.000 0.000
O: 0.500 0.000 0.000
I: 0.000 0.000 0.500
Ti: 0.500 0.500 0.500
O: 0.000 0.500 0.000

---

> DOS(E_F) of number 3 (ZrTeIO2)?

0.740 states/eV/atom

---

> Which formula does entry 2 have?

ZnTeIO2

---

> Which of these has the highest DOS(E_F)?

number 7